1.
First-principles (PBE-GGA) data for an optimized crystal structure of Ba2NaLi5Cd2, as listed in the Alexandria database.

The value obtained for the density is 2.9 Mg/m³. The total energy is -34.7 eV/cell.

Lattice parameters (Å, degrees): 11.773 11.773 4.566 90.00 90.00 90.00
Space group P4/mbm (No. 127)
Unique sites:
Ba1 0.180 0.320 0.000 x4
Na1 0.000 0.000 0.000 x2
Li1 0.000 0.500 0.500 x2
Li2 0.066 0.770 0.500 x8
Cd1 0.111 0.611 0.000 x4

=====

2.
First-principles (PBE-GGA) data for an optimized crystal structure of Ba2NaLiCd6, as listed in the Alexandria database.

The value obtained for the density is 5.4 Mg/m³. The total energy is -14.4 eV/cell.

Lattice parameters (Å, degrees): 7.374 7.479 7.585 61.19 61.71 60.65
Space group P-1 (No. 2)
Unique sites:
Ba1 0.190 0.192 0.426 x2
Na1 0.500 0.500 0.500 x1
Li1 0.000 0.000 0.000 x1
Cd1 0.159 0.315 0.895 x2
Cd2 0.316 0.631 0.894 x2
Cd3 0.372 0.841 0.104 x2

=====

3.
First-principles (PBE-GGA) data for an optimized crystal structure of Ba2NaLiCd, as listed in the Alexandria database.

The value obtained for the density is 2.9 Mg/m³. Its energy above the most stable polymorph in this dataset is 0 meV per atom.

Lattice parameters (Å, degrees): 6.731 6.731 5.325 90.00 90.00 90.00
Space group P4/mmm (No. 123)
Unique sites:
Ba1 0.000 0.500 0.000 x2
Na1 0.000 0.000 0.500 x1
Li1 0.500 0.500 0.500 x1
Cd1 0.500 0.500 0.000 x1

=====

4.
First-principles (PBE-GGA) data for an optimized crystal structure of Ba2NaLi3Cd12, as listed in the Alexandria database.

The value obtained for the density is 5.4 Mg/m³. The total energy is -70.0 eV/cell.

Lattice parameters (Å, degrees): 7.3211 7.3211 33.2279 90.00 90.00 120.00
Space group R-3m (No. 166, hexagonal axes)
Unique sites:
Ba1 0.0000 0.0000 0.1397 x6
Na1 0.0000 0.0000 0.5000 x3
Li1 0.0000 0.5000 0.0000 x9
Cd1 0.0204 0.5102 0.9023 x18
Cd2 0.0660 0.5330 0.6249 x18

=====

5.
First-principles (PBE-GGA) data for an optimized crystal structure of BaNaLiCd2, as listed in the Alexandria database.

The value obtained for the density is 4.3 Mg/m³. The total energy is -7.5 eV/cell.

Lattice parameters (Å, degrees): 5.373 5.373 5.288 90.00 90.00 90.00
Space group P4/mmm (No. 123)
Unique sites:
Ba1 0.000 0.000 0.000 x1
Na1 0.500 0.500 0.000 x1
Li1 0.500 0.500 0.500 x1
Cd1 0.000 0.500 0.500 x2

=====

6.
First-principles (PBE-GGA) data for an optimized crystal structure of BaNaLiCd, as listed in the Alexandria database.

The value obtained for the density is 3.4 Mg/m³. The total energy is -25.3 eV/cell.

Lattice parameters (Å, degrees): 8.205 8.205 8.205 90.00 90.00 90.00
Space group F-43m (No. 216)
Unique sites:
Ba1 0.000 0.000 0.000 x4
Na1 0.000 0.000 0.500 x4
Li1 0.250 0.250 0.250 x4
Cd1 0.250 0.250 0.750 x4

=====

Across the entries above, magnetic moment takes the values 0.00, 0.00, 0.00, 0.00, 0.00, 0.00 Bohr magnetons per cell, respectively.
Across the entries above, volume takes the values 633, 304, 241, 1542, 153, 552 Å³ per cell, respectively.